A plane-wave DFT calculation with GGA-PBE was carried out for a geometry-optimized ScAuSe2 structure.

Output
The calculation puts the total moment at 0.0 μB/cell. For the uncorrected formation energy, the calculation gives -2.626 eV/f.u.

Unit cell a=7.464 b=4.648 c=3.578 alpha=89.90 beta=61.49 gamma=128.26
Fractional positions:
1 Sc 0.500 0.500 0.000
2 Se 0.000 0.000 0.000
3 Se 0.500 0.000 0.500
4 Au 0.000 0.500 0.500